(w)
# CdBTe2N

A relaxed structure of CdBTe2N (GGA-PBE, Alexandria).

abc: 5.7641 5.7641 4.0873
angles: 90.00 90.00 90.00
With the nearest neighbours (Å) after each atom.
Fractional coordinates of all 5 atoms:
B (0.5000, 0.5000, 0.5000)  8 Te 3.53
Cd (0.0000, 0.0000, 0.0000)  2 N 2.04
Te (0.5000, 0.0000, 0.0000)  2 Cd 2.88
Te (0.0000, 0.5000, 0.0000)  2 Cd 2.88
N (0.0000, 0.0000, 0.5000)  2 Cd 2.04

Properties
symmetry	No. 123

***

(x)
# CdBTe2N

A relaxed structure of CdBTe2N (GGA-PBE, Alexandria).

abc: 6.9760 6.9760 2.7309
angles: 90.00 90.00 90.00
With the nearest neighbours (Å) after each atom.
Fractional coordinates of all 5 atoms:
Te (0.0000, 0.5000, 0.0000)  2 Te 2.73
Te (0.5000, 0.0000, 0.0000)  2 Te 2.73
Cd (0.5000, 0.5000, 0.5000)  2 Cd 2.73
N (0.0000, 0.0000, 0.5000)  2 B 1.37
B (0.0000, 0.0000, 0.0000)  2 N 1.37

Properties
symmetry	No. 123

***

So which one wins? Going from most stable to least: (x), (w).

***

(w)
# Cd3NiB

A relaxed structure of Cd3NiB (GGA-PBE, Alexandria).

abc: 4.4929 4.4929 4.4929
angles: 90.00 90.00 90.00
With the nearest neighbours (Å) after each atom.
Fractional coordinates of all 5 atoms:
Ni (0.5000, 0.5000, 0.5000)  12 Cd 3.18
Cd (0.0000, 0.0000, 0.5000)  2 B 2.25
Cd (0.0000, 0.5000, 0.0000)  2 B 2.25
Cd (0.5000, 0.0000, 0.0000)  2 B 2.25
B (0.0000, 0.0000, 0.0000)  6 Cd 2.25

Properties
symmetry	No. 221

***

(x)
# Cd3NiB

A relaxed structure of Cd3NiB (GGA-PBE, Alexandria).

abc: 4.9040 4.9040 4.9040
angles: 90.00 90.00 90.00
With the nearest neighbours (Å) after each atom.
Fractional coordinates of all 5 atoms:
Cd (0.0000, 0.5000, 0.0000)  2 Ni 2.45
Cd (0.5000, 0.0000, 0.0000)  2 Ni 2.45
Cd (0.0000, 0.0000, 0.5000)  2 Ni 2.45
B (0.5000, 0.5000, 0.5000)  12 Cd 3.47
Ni (0.0000, 0.0000, 0.0000)  6 Cd 2.45

Properties
symmetry	No. 221

***

So which one wins? Going from most stable to least: (w), (x).

***

(w)
# CdNi3B

A relaxed structure of CdNi3B (GGA-PBE, Alexandria).

abc: 4.6605 4.6605 4.6605
angles: 90.00 90.00 90.00
With the nearest neighbours (Å) after each atom.
Fractional coordinates of all 5 atoms:
Ni (0.0000, 0.0000, 0.5000)  2 Cd 2.33
Ni (0.0000, 0.5000, 0.0000)  2 Cd 2.33
Ni (0.5000, 0.0000, 0.0000)  2 Cd 2.33
B (0.5000, 0.5000, 0.5000)  12 Ni 3.30
Cd (0.0000, 0.0000, 0.0000)  6 Ni 2.33

Properties
symmetry	No. 221

***

(x)
# CdNi3B

A relaxed structure of CdNi3B (GGA-PBE, Alexandria).

abc: 3.9096 3.9096 3.9096
angles: 90.00 90.00 90.00
With the nearest neighbours (Å) after each atom.
Fractional coordinates of all 5 atoms:
B (0.0000, 0.0000, 0.0000)  6 Ni 1.95
Ni (0.0000, 0.5000, 0.0000)  2 B 1.95
Ni (0.5000, 0.0000, 0.0000)  2 B 1.95
Ni (0.0000, 0.0000, 0.5000)  2 B 1.95
Cd (0.5000, 0.5000, 0.5000)  12 Ni 2.76

Properties
symmetry	No. 221

***

So which one wins? Going from most stable to least: (x), (w).

***

(w)
# CdNiB2

A relaxed structure of CdNiB2 (GGA-PBE, Alexandria).

abc: 3.6698 3.6698 7.6092
angles: 76.05 76.05 90.00
With the nearest neighbours (Å) after each atom.
Fractional coordinates of all 8 atoms:
B (0.8750, 0.6250, 0.7500)  2 B 1.83, 2 Ni 2.01
B (0.3750, 0.1250, 0.2500)  2 B 1.83, 2 Ni 2.01
B (0.3750, 0.6250, 0.2500)  2 B 1.83, 2 Ni 2.01
B (0.3750, 0.6250, 0.7500)  2 B 1.83, 2 Ni 2.01
Ni (0.2500, 0.7500, 0.5000)  4 B 2.01
Ni (0.5000, 0.5000, 0.0000)  4 B 2.01
Cd (0.7500, 0.2500, 0.5000)  4 Ni 2.59, 8 B 2.72
Cd (0.0000, 0.0000, 0.0000)  4 Ni 2.59, 8 B 2.72

Properties
symmetry	No. 141

***

(x)
# CdNiB2

A relaxed structure of CdNiB2 (GGA-PBE, Alexandria).

abc: 3.9558 3.9558 3.9558
angles: 60.00 60.00 60.00
With the nearest neighbours (Å) after each atom.
Fractional coordinates of all 4 atoms:
B (0.7500, 0.7500, 0.7500)  4 Cd 2.42, 4 Ni 2.42
B (0.2500, 0.2500, 0.2500)  4 Cd 2.42, 4 Ni 2.42
Ni (0.0000, 0.0000, 0.0000)  8 B 2.42
Cd (0.5000, 0.5000, 0.5000)  8 B 2.42

Properties
symmetry	No. 225

***

So which one wins? Going from most stable to least: (w), (x).

***

(w)
# CdB2O4

A relaxed structure of CdB2O4 (GGA-PBE, Alexandria).

abc: 5.1199 8.2654 14.2377
angles: 90.00 90.00 90.00
With the nearest neighbours (Å) after each atom.
Fractional coordinates of all 56 atoms:
B (0.2652, 0.7564, 0.4483)  4 O 1.49-1.51
B (0.2348, 0.2564, 0.5517)  4 O 1.49-1.51
B (0.7652, 0.7436, 0.4483)  4 O 1.49-1.51
B (0.0263, 0.5347, 0.3616)  3 O 1.37-1.38
B (0.5263, 0.5347, 0.1384)  3 O 1.37-1.38
B (0.7652, 0.7564, 0.0517)  4 O 1.49-1.51
B (0.2348, 0.2436, 0.9483)  4 O 1.49-1.51
B (0.5263, 0.9653, 0.3616)  3 O 1.37-1.38
B (0.9737, 0.0347, 0.8616)  3 O 1.37-1.38
B (0.4737, 0.4653, 0.8616)  3 O 1.37-1.38
B (0.0263, 0.9653, 0.1384)  3 O 1.37-1.38
B (0.7348, 0.2564, 0.9483)  4 O 1.49-1.51
B (0.4737, 0.0347, 0.6384)  3 O 1.37-1.38
B (0.2652, 0.7436, 0.0517)  4 O 1.49-1.51
B (0.7348, 0.2436, 0.5517)  4 O 1.49-1.51
B (0.9737, 0.4653, 0.6384)  3 O 1.37-1.38
Cd (0.9873, 0.8853, 0.6489)  6 O 2.28-2.47
Cd (0.4873, 0.8853, 0.8511)  6 O 2.28-2.47
Cd (0.0127, 0.1147, 0.3511)  6 O 2.28-2.47
Cd (0.5127, 0.1147, 0.1489)  6 O 2.28-2.47
Cd (0.5127, 0.3853, 0.3511)  6 O 2.28-2.47
Cd (0.9873, 0.6147, 0.8511)  6 O 2.28-2.47
Cd (0.4873, 0.6147, 0.6489)  6 O 2.28-2.47
Cd (0.0127, 0.3853, 0.1489)  6 O 2.28-2.47
O (0.2506, 0.6187, 0.3814)  2 B 1.37-1.49
O (0.9840, 0.2376, 0.4966)  2 B 1.50-1.51
O (0.7506, 0.8813, 0.3814)  2 B 1.37-1.49
O (0.7494, 0.1187, 0.8814)  2 B 1.37-1.49
O (0.0160, 0.7624, 0.5034)  2 B 1.50-1.51
O (0.5441, 0.1072, 0.3109)  1 B 1.38
O (0.7109, 0.4112, 0.8936)  2 B 1.37-1.50
O (0.0160, 0.7376, 0.9966)  2 B 1.50-1.51
O (0.7891, 0.9112, 0.1064)  2 B 1.37-1.50
O (0.7891, 0.5888, 0.3936)  2 B 1.37-1.50
O (0.2494, 0.1187, 0.6186)  2 B 1.37-1.49
O (0.7506, 0.6187, 0.1186)  2 B 1.37-1.49
O (0.5160, 0.7624, 0.9966)  2 B 1.50-1.51
O (0.9559, 0.6072, 0.6891)  1 B 1.38
O (0.7494, 0.3813, 0.6186)  2 B 1.37-1.49
O (0.4840, 0.2376, 0.0034)  2 B 1.50-1.51
O (0.2109, 0.0888, 0.8936)  2 B 1.37-1.50
O (0.7109, 0.0888, 0.6064)  2 B 1.37-1.50
O (0.4559, 0.6072, 0.8109)  1 B 1.38
O (0.2891, 0.9112, 0.3936)  2 B 1.37-1.50
O (0.0441, 0.3928, 0.3109)  1 B 1.38
O (0.4840, 0.2624, 0.4966)  2 B 1.50-1.51
O (0.2891, 0.5888, 0.1064)  2 B 1.37-1.50
O (0.0441, 0.1072, 0.1891)  1 B 1.38
O (0.2494, 0.3813, 0.8814)  2 B 1.37-1.49
O (0.2506, 0.8813, 0.1186)  2 B 1.37-1.49
O (0.9840, 0.2624, 0.0034)  2 B 1.50-1.51
O (0.9559, 0.8928, 0.8109)  1 B 1.38
O (0.2109, 0.4112, 0.6064)  2 B 1.37-1.50
O (0.4559, 0.8928, 0.6891)  1 B 1.38
O (0.5441, 0.3928, 0.1891)  1 B 1.38
O (0.5160, 0.7376, 0.5034)  2 B 1.50-1.51

Properties
symmetry	No. 56

***

(x)
# CdB2O4

A relaxed structure of CdB2O4 (GGA-PBE, Alexandria).

abc: 4.0770 4.5820 8.2196
angles: 90.00 90.00 116.42
With the nearest neighbours (Å) after each atom.
Fractional coordinates of all 14 atoms:
B (0.7571, 0.5149, 0.5000)  4 O 1.48-1.51
B (0.2429, 0.4851, 0.5000)  4 O 1.48-1.51
B (0.2422, 0.4851, 0.0000)  4 O 1.48-1.51
B (0.7578, 0.5149, 0.0000)  4 O 1.48-1.51
O (0.0000, 0.5000, 0.1328)  2 B 1.49
O (0.5000, 0.5000, 0.6328)  2 B 1.49
O (0.5000, 0.5000, 0.3672)  2 B 1.49
O (0.3774, 0.2345, 0.0000)  2 B 1.48-1.51
O (0.8571, 0.2345, 0.5000)  2 B 1.48-1.51
O (0.0000, 0.5000, 0.8672)  2 B 1.49
O (0.6226, 0.7655, 0.0000)  2 B 1.48-1.51
O (0.1429, 0.7655, 0.5000)  2 B 1.48-1.51
Cd (0.5000, 0.0000, 0.2500)  8 O 2.47-2.49
Cd (0.5000, 0.0000, 0.7500)  8 O 2.47-2.49

Properties
symmetry	No. 66

***

So which one wins? Going from most stable to least: (w), (x).

***

(w)
# Cd3B2O6

A relaxed structure of Cd3B2O6 (GGA-PBE, Alexandria).

abc: 4.8432 6.0964 9.1707
angles: 90.00 90.00 90.00
With the nearest neighbours (Å) after each atom.
Fractional coordinates of all 22 atoms:
B (0.0340, 0.2414, 0.5000)  3 O 1.38-1.41
B (0.5340, 0.2586, 0.0000)  3 O 1.38-1.41
B (0.9660, 0.7586, 0.5000)  3 O 1.38-1.41
B (0.4660, 0.7414, 0.0000)  3 O 1.38-1.41
Cd (0.5000, 0.5000, 0.5000)  6 O 2.32-2.36
Cd (0.5000, 0.0000, 0.3113)  6 O 2.29-2.40
Cd (0.0000, 0.0000, 0.0000)  6 O 2.32-2.36
Cd (0.5000, 0.0000, 0.6887)  6 O 2.29-2.40
Cd (0.0000, 0.5000, 0.8113)  6 O 2.29-2.40
Cd (0.0000, 0.5000, 0.1887)  6 O 2.29-2.40
O (0.3215, 0.7834, 0.1299)  1 B 1.41
O (0.3215, 0.7834, 0.8701)  1 B 1.41
O (0.1785, 0.2834, 0.3701)  1 B 1.41
O (0.7589, 0.1794, 0.5000)  1 B 1.38
O (0.6785, 0.2166, 0.8701)  1 B 1.41
O (0.2589, 0.3206, 0.0000)  1 B 1.38
O (0.6785, 0.2166, 0.1299)  1 B 1.41
O (0.7411, 0.6794, 0.0000)  1 B 1.38
O (0.2411, 0.8206, 0.5000)  1 B 1.38
O (0.1785, 0.2834, 0.6299)  1 B 1.41
O (0.8215, 0.7166, 0.6299)  1 B 1.41
O (0.8215, 0.7166, 0.3701)  1 B 1.41

Properties
symmetry	No. 58

***

(x)
# Cd3B2O6

A relaxed structure of Cd3B2O6 (GGA-PBE, Alexandria).

abc: 5.0518 3.6149 8.4136
angles: 87.16 81.68 71.42
With the nearest neighbours (Å) after each atom.
Fractional coordinates of all 11 atoms:
O (0.6338, 0.1642, 0.2229)  1 B 1.40
O (0.7601, 0.4052, 0.6113)  1 B 1.40
O (0.2399, 0.5948, 0.3887)  1 B 1.40
O (0.8371, 0.5964, 0.8624)  1 B 1.38
O (0.3662, 0.8358, 0.7771)  1 B 1.40
O (0.1629, 0.4036, 0.1376)  1 B 1.38
Cd (0.0000, 0.0000, 0.0000)  6 O 2.31-2.39
Cd (0.7759, 0.5995, 0.3577)  5 O 2.21-2.44
Cd (0.2241, 0.4005, 0.6423)  5 O 2.21-2.44
B (0.6536, 0.6228, 0.7527)  3 O 1.38-1.40
B (0.3464, 0.3772, 0.2473)  3 O 1.38-1.40

Properties
symmetry	No. 2

***

So which one wins? Going from most stable to least: (w), (x).

***

(w)
# Cd2BO

A relaxed structure of Cd2BO (GGA-PBE, Alexandria).

abc: 5.7815 5.7815 5.8114
angles: 60.17 60.17 90.00
With the nearest neighbours (Å) after each atom.
Fractional coordinates of all 8 atoms:
Cd (0.6404, 0.1250, 0.2500)  2 O 2.23, 2 B 2.35
Cd (0.1096, 0.6250, 0.2500)  2 O 2.23, 2 B 2.35
Cd (0.3750, 0.3596, 0.7500)  2 O 2.23, 2 B 2.35
Cd (0.8750, 0.8904, 0.7500)  2 O 2.23, 2 B 2.35
B (0.2500, 0.7500, 0.5000)  4 Cd 2.35
B (0.5000, 0.5000, 0.0000)  4 Cd 2.35
O (0.7500, 0.2500, 0.5000)  4 Cd 2.23
O (0.0000, 0.0000, 0.0000)  4 Cd 2.23

Properties
symmetry	No. 122

***

(x)
# Cd2BO

A relaxed structure of Cd2BO (GGA-PBE, Alexandria).

abc: 4.3372 4.3372 4.3372
angles: 60.00 60.00 60.00
With the nearest neighbours (Å) after each atom.
Fractional coordinates of all 4 atoms:
B (0.0000, 0.0000, 0.0000)  8 Cd 2.66
Cd (0.7500, 0.7500, 0.7500)  4 O 2.66, 4 B 2.66
Cd (0.2500, 0.2500, 0.2500)  4 O 2.66, 4 B 2.66
O (0.5000, 0.5000, 0.5000)  8 Cd 2.66

Properties
symmetry	No. 225

***

So which one wins? Going from most stable to least: (w), (x).

***

(w)
# CdBOs2

A relaxed structure of CdBOs2 (GGA-PBE, Alexandria).

abc: 4.5400 4.5400 7.7968
angles: 73.07 73.07 90.00
With the nearest neighbours (Å) after each atom.
Fractional coordinates of all 8 atoms:
Os (0.2813, 0.6250, 0.2500)  2 B 2.15
Os (0.3750, 0.5313, 0.7500)  2 B 2.15
Os (0.8750, 0.7187, 0.7500)  2 B 2.15
Os (0.4687, 0.1250, 0.2500)  2 B 2.15
Cd (0.7500, 0.2500, 0.5000)  4 Os 2.80
Cd (0.0000, 0.0000, 0.0000)  4 Os 2.80
B (0.5000, 0.5000, 0.0000)  4 Os 2.15
B (0.2500, 0.7500, 0.5000)  4 Os 2.15

Properties
symmetry	No. 122

***

(x)
# CdBOs2

A relaxed structure of CdBOs2 (GGA-PBE, Alexandria).

abc: 4.2662 4.2662 4.2662
angles: 60.00 60.00 60.00
With the nearest neighbours (Å) after each atom.
Fractional coordinates of all 4 atoms:
Cd (0.5000, 0.5000, 0.5000)  8 Os 2.61
Os (0.7500, 0.7500, 0.7500)  4 Cd 2.61, 4 B 2.61
Os (0.2500, 0.2500, 0.2500)  4 Cd 2.61, 4 B 2.61
B (0.0000, 0.0000, 0.0000)  8 Os 2.61

Properties
symmetry	No. 225

***

So which one wins? Going from most stable to least: (w), (x).

***

(w)
# CdBOs3

A relaxed structure of CdBOs3 (GGA-PBE, Alexandria).

abc: 4.1609 4.1609 4.1609
angles: 90.00 90.00 90.00
With the nearest neighbours (Å) after each atom.
Fractional coordinates of all 5 atoms:
B (0.0000, 0.0000, 0.0000)  6 Os 2.08
Os (0.5000, 0.0000, 0.0000)  2 B 2.08
Os (0.0000, 0.0000, 0.5000)  2 B 2.08
Os (0.0000, 0.5000, 0.0000)  2 B 2.08
Cd (0.5000, 0.5000, 0.5000)  12 Os 2.94

Properties
symmetry	No. 221

***

(x)
# CdBOs3

A relaxed structure of CdBOs3 (GGA-PBE, Alexandria).

abc: 4.8787 4.8787 4.8787
angles: 90.00 90.00 90.00
With the nearest neighbours (Å) after each atom.
Fractional coordinates of all 5 atoms:
Cd (0.0000, 0.0000, 0.0000)  6 Os 2.44
B (0.5000, 0.5000, 0.5000)  12 Os 3.45
Os (0.5000, 0.0000, 0.0000)  2 Cd 2.44
Os (0.0000, 0.0000, 0.5000)  2 Cd 2.44
Os (0.0000, 0.5000, 0.0000)  2 Cd 2.44

Properties
symmetry	No. 221

***

So which one wins? Going from most stable to least: (w), (x).

***

(w)
# Y2CdBOs

A relaxed structure of Y2CdBOs (GGA-PBE, Alexandria).

abc: 5.1116 5.1116 4.0114
angles: 90.00 90.00 90.00
With the nearest neighbours (Å) after each atom.
Fractional coordinates of all 5 atoms:
B (0.0000, 0.0000, 0.0000)  2 Os 2.01
Y (0.5000, 0.0000, 0.0000)  2 B 2.56
Y (0.0000, 0.5000, 0.0000)  2 B 2.56
Os (0.0000, 0.0000, 0.5000)  2 B 2.01
Cd (0.5000, 0.5000, 0.5000)  8 Y 3.25, 4 Os 3.61

Properties
symmetry	No. 123

***

(x)
# Y2CdBOs

A relaxed structure of Y2CdBOs (GGA-PBE, Alexandria).

abc: 5.4721 4.8122 5.4721
angles: 90.00 90.00 90.00
With the nearest neighbours (Å) after each atom.
Fractional coordinates of all 5 atoms:
Y (0.0000, 0.0000, 0.5000)  2 Cd 2.74
Y (0.5000, 0.0000, 0.0000)  2 Cd 2.74
B (0.5000, 0.5000, 0.5000)  8 Y 3.64, 4 Os 3.87
Os (0.0000, 0.5000, 0.0000)  2 Cd 2.41
Cd (0.0000, 0.0000, 0.0000)  2 Os 2.41

Properties
symmetry	No. 123

***

So which one wins? Going from most stable to least: (w), (x).

***

(w)
# Cd2BP

A relaxed structure of Cd2BP (GGA-PBE, Alexandria).

abc: 6.2964 6.2964 6.1199
angles: 59.04 59.04 90.00
With the nearest neighbours (Å) after each atom.
Fractional coordinates of all 8 atoms:
Cd (0.3750, 0.4069, 0.7500)  2 B 2.34, 2 P 2.59
Cd (0.5931, 0.1250, 0.2500)  2 B 2.34, 2 P 2.59
Cd (0.8750, 0.8431, 0.7500)  2 B 2.34, 2 P 2.59
Cd (0.1569, 0.6250, 0.2500)  2 B 2.34, 2 P 2.59
B (0.2500, 0.7500, 0.5000)  4 Cd 2.34
B (0.5000, 0.5000, 0.0000)  4 Cd 2.34
P (0.7500, 0.2500, 0.5000)  4 Cd 2.59
P (0.0000, 0.0000, 0.0000)  4 Cd 2.59

Properties
symmetry	No. 122

***

(x)
# Cd2BP

A relaxed structure of Cd2BP (GGA-PBE, Alexandria).

abc: 4.6472 4.6472 4.6472
angles: 60.00 60.00 60.00
With the nearest neighbours (Å) after each atom.
Fractional coordinates of all 4 atoms:
P (0.5000, 0.5000, 0.5000)  8 Cd 2.85
Cd (0.2500, 0.2500, 0.2500)  4 B 2.85, 4 P 2.85
Cd (0.7500, 0.7500, 0.7500)  4 B 2.85, 4 P 2.85
B (0.0000, 0.0000, 0.0000)  8 Cd 2.85

Properties
symmetry	No. 225

***

So which one wins? Going from most stable to least: (w), (x).